A plane-wave DFT calculation with PBE with a Hubbard U was carried out for an optimized crystal structure of Mn3SiF.

The structure in CIF format:
```
data_Mn3SiF
_symmetry_space_group_name_H-M 'P 1'
_symmetry_Int_Tables_number 1
_cell_length_a 4.446
_cell_length_b 4.446
_cell_length_c 4.446
_cell_angle_alpha 90.00
_cell_angle_beta 90.00
_cell_angle_gamma 90.00
loop_
_symmetry_equiv_pos_as_xyz
'x,y,z'
loop_
_atom_site_label
_atom_site_type_symbol
_atom_site_fract_x
_atom_site_fract_y
_atom_site_fract_z
Mn1 Mn 0.000 0.000 0.500
Mn2 Mn 0.500 0.000 0.000
Mn3 Mn 0.000 0.500 0.000
F1 F 0.000 0.000 0.000
Si1 Si 0.500 0.500 0.500
```

Summary:
As for the space-group type: Pm-3m (221). For the total energy, the calculation gives -0.4353 Ry/atom. As for the volume: 88 Å³ per cell.